This record from Alexandria describes crystalline Cr2BiMoOsRh at its relaxed geometry. The functional is GGA-PBE.

abc: 2.943 4.352 7.595
angles: 90.00 101.07 90.00
Sites, in units of the cell vectors:
Cr 0.000 0.000 0.000
Cr 0.385 0.000 0.766
Bi 0.691 0.000 0.370
Mo 0.272 0.500 0.535
Os 0.916 0.500 0.828
Rh 0.571 0.500 0.142

formation energy from the elements	0.355	eV/atom
space-group type	Pm (6)
energy	-0.3088	hartree per atom
energy above the most stable polymorph in this dataset	79.1	meV/atom